Entry from the Open Quantum Materials Database: a relaxed structure of GdCuSnTe3 (PBE).

```
GdCuSnTe3
1.0
14.5278 0.0000 0.0000
0.0000 4.2715 0.0000
0.0000 0.0000 11.7085
Gd Cu Sn Te
4 4 4 12
direct
0.0073 0.2500 0.1735
0.4927 0.7500 0.6735
0.5073 0.2500 0.3265
0.9927 0.7500 0.8265
0.0069 0.7500 0.4184
0.4931 0.2500 0.9184
0.5069 0.7500 0.0816
0.9931 0.2500 0.5816
0.2105 0.2500 0.4486
0.2895 0.7500 0.9486
0.7105 0.2500 0.0514
0.7895 0.7500 0.5514
0.1088 0.7500 0.6100
0.1168 0.2500 0.9427
0.1436 0.7500 0.2615
0.3564 0.2500 0.7615
0.3832 0.7500 0.4427
0.3912 0.2500 0.1100
0.6088 0.7500 0.8900
0.6168 0.2500 0.5573
0.6436 0.7500 0.2385
0.8564 0.2500 0.7385
0.8832 0.7500 0.0573
0.8912 0.2500 0.3900
```

Computed properties:
relative energy among the computed polymorphs = 12 meV per atom
total DFT energy (no corrections) = -4.292 eV/atom
M_tot = 0.002 μB per formula unit
volume = 726.57 Å³ per cell
space-group type = No. 62